Entry 1:
PtW: optimized geometry, PBE.

Unit cell a=2.7691 b=4.9586 c=5.3201 alpha=62.92 beta=76.48 gamma=89.80
With the nearest neighbours (Å) after each atom.
Fractional coordinates of all 4 atoms:
Pt 0.1107 0.2921 0.2627  7 W 2.74-2.93, 5 Pt 2.77-2.95
Pt 0.8893 0.7079 0.7373  7 W 2.74-2.93, 5 Pt 2.77-2.95
W 0.3984 0.2152 0.7523  5 W 2.72-2.93, 7 Pt 2.74-2.93
W 0.6016 0.7848 0.2477  5 W 2.72-2.93, 7 Pt 2.74-2.93

Properties
- SG = P-1, No. 2
- size of the total moment (μB/cell) = 0.00

Entry 2:
Pt3W: optimized geometry, PBE.

Unit cell a=8.5215 b=8.5215 c=8.5215 alpha=153.30 beta=153.30 gamma=38.12
With the nearest neighbours (Å) after each atom.
Fractional coordinates of all 8 atoms:
Pt 0.0000 0.5000 0.5000  8 Pt 2.77-2.78, 4 W 2.87
Pt 0.1208 0.1208 0.0000  8 Pt 2.77-2.86, 4 W 2.79
Pt 0.2500 0.7500 0.5000  4 W 2.76, 8 Pt 2.78-2.86
Pt 0.5000 0.0000 0.5000  8 Pt 2.77-2.78, 4 W 2.87
Pt 0.7500 0.2500 0.5000  4 W 2.76, 8 Pt 2.78-2.86
Pt 0.8792 0.8792 0.0000  8 Pt 2.77-2.86, 4 W 2.79
W 0.3706 0.3706 0.0000  12 Pt 2.76-2.87
W 0.6294 0.6294 0.0000  12 Pt 2.76-2.87

Properties
- SG = I4/mmm, No. 139
- size of the total moment (μB/cell) = 0.00

The records above yield energy of formation values of -0.18; -0.18 eV/atom, respectively.